The following is a PBE+U calculation of crystalline Ba2TcMoO at its relaxed geometry, from Alexandria via LeMat-Bulk.

Properties
- Total DFT energy (no corrections): -4.9470 eV per atom
- Crystal system: tetragonal

The structure in POSCAR format:
```
Ba2TcMoO
1.0
-3.2947 -3.5126 4.2641
1.3620 -3.2124 -1.5939
5.0304 0.1450 4.0063
Tc Mo Ba O
1 1 2 1
Cartesian
0.0000 0.0000 0.0000
1.5488 -3.2900 3.3383
2.5152 0.0725 2.0032
-1.6474 -1.7563 2.1321
0.6810 -1.6062 -0.7969
```